Material: CaDyMgPb
Method: DFT, PBE
State: optimized geometry

Calculated values
Magnetic moment   0.000 μB/atom
DOS at the Fermi energy   13.5 states/eV per cell
Calculated formation energy   -0.279 eV/atom

The structure in POSCAR format:
```
CaDyMgPb
1.0
7.691 0.000 0.000
0.000 7.691 0.000
0.000 0.000 7.691
Ca Dy Mg Pb
4 4 4 4
direct
0.000 0.000 0.000
0.000 0.500 0.500
0.500 0.000 0.500
0.500 0.500 0.000
0.000 0.000 0.500
0.000 0.500 0.000
0.500 0.000 0.000
0.500 0.500 0.500
0.250 0.250 0.250
0.250 0.750 0.750
0.750 0.250 0.750
0.750 0.750 0.250
0.250 0.250 0.750
0.250 0.750 0.250
0.750 0.250 0.250
0.750 0.750 0.750
```



Material: CaPmDyMg
Method: DFT, PBE
State: optimized geometry

Calculated values
Magnetic moment   0.000 μB/atom
Excess energy over the best structure of this formula in the dataset   0 meV/atom
DOS at the Fermi energy   5.5 states/eV per cell
Calculated formation energy   -0.014 eV/atom

The structure in POSCAR format:
```
CaPmDyMg
1.0
3.637 0.000 0.000
0.000 3.637 0.000
0.000 0.000 9.755
Ca Pm Dy Mg
1 1 1 1
direct
0.000 0.000 0.000
0.500 0.500 0.705
0.000 0.000 0.456
0.500 0.500 0.238
```



Material: CaPmDyMg
Method: DFT, PBE
State: optimized geometry

Calculated values
Magnetic moment   0.000 μB/atom
Excess energy over the best structure of this formula in the dataset   76 meV/atom
DOS at the Fermi energy   16.6 states/eV per cell
Calculated formation energy   0.063 eV/atom

The structure in POSCAR format:
```
CaPmDyMg
1.0
7.954 0.000 0.000
0.000 7.954 0.000
0.000 0.000 7.954
Ca Pm Dy Mg
4 4 4 4
direct
0.000 0.000 0.000
0.000 0.500 0.500
0.500 0.000 0.500
0.500 0.500 0.000
0.250 0.250 0.250
0.250 0.750 0.750
0.750 0.250 0.750
0.750 0.750 0.250
0.250 0.250 0.750
0.250 0.750 0.250
0.750 0.250 0.250
0.750 0.750 0.750
0.000 0.000 0.500
0.000 0.500 0.000
0.500 0.000 0.000
0.500 0.500 0.500
```



Material: CaPrDyMg
Method: DFT, PBE
State: optimized geometry

Calculated values
Magnetic moment   0.000 μB/atom
Excess energy over the best structure of this formula in the dataset   72 meV/atom
DOS at the Fermi energy   18.7 states/eV per cell
Calculated formation energy   0.053 eV/atom

The structure in POSCAR format:
```
CaPrDyMg
1.0
8.001 0.000 0.000
0.000 8.001 0.000
0.000 0.000 8.001
Ca Pr Dy Mg
4 4 4 4
direct
0.000 0.000 0.000
0.000 0.500 0.500
0.500 0.000 0.500
0.500 0.500 0.000
0.250 0.250 0.250
0.250 0.750 0.750
0.750 0.250 0.750
0.750 0.750 0.250
0.250 0.250 0.750
0.250 0.750 0.250
0.750 0.250 0.250
0.750 0.750 0.750
0.000 0.000 0.500
0.000 0.500 0.000
0.500 0.000 0.000
0.500 0.500 0.500
```



Material: CaPrDyMg
Method: DFT, PBE
State: optimized geometry

Calculated values
Magnetic moment   0.000 μB/atom
Excess energy over the best structure of this formula in the dataset   0 meV/atom
DOS at the Fermi energy   5.5 states/eV per cell
Calculated formation energy   -0.019 eV/atom

The structure in POSCAR format:
```
CaPrDyMg
1.0
3.661 0.000 0.000
0.000 3.661 0.000
0.000 0.000 9.768
Ca Pr Dy Mg
1 1 1 1
direct
0.000 0.000 0.000
0.500 0.500 0.702
0.000 0.000 0.451
0.500 0.500 0.235
```



Material: CaDy2MgRh4
Method: DFT, PBE
State: optimized geometry

Calculated values
Magnetic moment   0.000 μB/atom
DOS at the Fermi energy   3.2 states/eV per cell
Calculated formation energy   -0.666 eV/atom

The structure in POSCAR format:
```
CaDy2MgRh4
1.0
2.359 1.362 7.785
-2.359 1.362 7.785
0.000 -2.724 7.785
Ca Dy Mg Rh
1 2 1 4
direct
0.000 0.000 0.000
0.247 0.247 0.247
0.753 0.753 0.753
0.500 0.500 0.500
0.128 0.128 0.128
0.379 0.379 0.379
0.621 0.621 0.621
0.872 0.872 0.872
```



Material: CaDyMgRu
Method: DFT, PBE
State: optimized geometry

Calculated values
Magnetic moment   0.000 μB/atom
DOS at the Fermi energy   11.8 states/eV per cell
Calculated formation energy   0.002 eV/atom

The structure in POSCAR format:
```
CaDyMgRu
1.0
7.141 0.000 0.000
0.000 7.141 0.000
0.000 0.000 7.141
Ca Dy Mg Ru
4 4 4 4
direct
0.000 0.000 0.000
0.000 0.500 0.500
0.500 0.000 0.500
0.500 0.500 0.000
0.000 0.000 0.500
0.000 0.500 0.000
0.500 0.000 0.000
0.500 0.500 0.500
0.250 0.250 0.250
0.250 0.750 0.750
0.750 0.250 0.750
0.750 0.750 0.250
0.250 0.250 0.750
0.250 0.750 0.250
0.750 0.250 0.250
0.750 0.750 0.750
```



Material: Ca2DyMgSe4
Method: DFT, PBE
State: optimized geometry

Calculated values
Magnetic moment   0.000 μB/atom
DOS at the Fermi energy   2.5 states/eV per cell
Formation energy (no corrections)   -1.7193 eV per atom

The structure in POSCAR format:
```
Ca2DyMgSe4
1.0
7.111 0.000 0.000
0.000 4.078 0.000
-2.388 0.000 6.732
Ca Dy Mg Se
2 1 1 4
direct
0.000 0.000 0.000
0.000 0.500 0.500
0.500 0.000 0.500
0.500 0.500 0.000
0.260 0.500 0.247
0.268 0.000 0.763
0.732 0.000 0.237
0.740 0.500 0.753
```



Material: Ca3Dy3MgSe8
Method: DFT, PBE
State: optimized geometry

Calculated values
Magnetic moment   0.000 μB/atom
DOS at the Fermi energy   4.0 states/eV per cell
Formation energy (no corrections)   -1.8252 eV per atom

The structure in POSCAR format:
```
Ca3Dy3MgSe8
1.0
4.089 2.361 6.823
-4.089 2.361 6.823
0.000 -4.721 6.823
Ca Dy Mg Se
3 3 1 8
direct
0.000 0.500 0.500
0.500 0.000 0.500
0.500 0.500 0.000
0.000 0.000 0.500
0.000 0.500 0.000
0.500 0.000 0.000
0.500 0.500 0.500
0.248 0.248 0.248
0.252 0.741 0.741
0.259 0.259 0.748
0.259 0.748 0.259
0.741 0.252 0.741
0.741 0.741 0.252
0.748 0.259 0.259
0.752 0.752 0.752
```



Material: CaDyMgSn
Method: DFT, PBE
State: optimized geometry

Calculated values
Magnetic moment   0.000 μB/atom
DOS at the Fermi energy   14.5 states/eV per cell
Calculated formation energy   -0.370 eV/atom

The structure in POSCAR format:
```
CaDyMgSn
1.0
7.584 0.000 0.000
0.000 7.584 0.000
0.000 0.000 7.584
Ca Dy Mg Sn
4 4 4 4
direct
0.000 0.000 0.000
0.000 0.500 0.500
0.500 0.000 0.500
0.500 0.500 0.000
0.000 0.000 0.500
0.000 0.500 0.000
0.500 0.000 0.000
0.500 0.500 0.500
0.250 0.250 0.250
0.250 0.750 0.750
0.750 0.250 0.750
0.750 0.750 0.250
0.250 0.250 0.750
0.250 0.750 0.250
0.750 0.250 0.250
0.750 0.750 0.750
```



Material: CaDyMg2Tl4
Method: DFT, PBE
State: optimized geometry

Calculated values
Magnetic moment   0.000 μB/atom
DOS at the Fermi energy   3.2 states/eV per cell
Calculated formation energy   -0.250 eV/atom

The structure in POSCAR format:
```
CaDyMg2Tl4
1.0
2.626 1.516 8.755
-2.626 1.516 8.755
0.000 -3.033 8.755
Ca Dy Mg Tl
1 1 2 4
direct
0.000 0.000 0.000
0.500 0.500 0.500
0.249 0.249 0.249
0.751 0.751 0.751
0.124 0.124 0.124
0.376 0.376 0.376
0.624 0.624 0.624
0.876 0.876 0.876
```



Material: CaDyMgTl
Method: DFT, PBE
State: optimized geometry

Calculated values
Magnetic moment   0.000 μB/atom
DOS at the Fermi energy   8.3 states/eV per cell
Calculated formation energy   -0.250 eV/atom

The structure in POSCAR format:
```
CaDyMgTl
1.0
7.649 0.000 0.000
0.000 7.649 0.000
0.000 0.000 7.649
Ca Dy Mg Tl
4 4 4 4
direct
0.000 0.000 0.000
0.000 0.500 0.500
0.500 0.000 0.500
0.500 0.500 0.000
0.000 0.000 0.500
0.000 0.500 0.000
0.500 0.000 0.000
0.500 0.500 0.500
0.250 0.250 0.750
0.250 0.750 0.250
0.750 0.250 0.250
0.750 0.750 0.750
0.250 0.250 0.250
0.250 0.750 0.750
0.750 0.250 0.750
0.750 0.750 0.250
```



Material: CaDy2MgTl4
Method: DFT, PBE
State: optimized geometry

Calculated values
Magnetic moment   0.000 μB/atom
DOS at the Fermi energy   5.3 states/eV per cell
Calculated formation energy   -0.286 eV/atom

The structure in POSCAR format:
```
CaDy2MgTl4
1.0
2.650 1.530 8.902
-2.650 1.530 8.902
0.000 -3.060 8.902
Ca Dy Mg Tl
1 2 1 4
direct
0.000 0.000 0.000
0.244 0.244 0.244
0.756 0.756 0.756
0.500 0.500 0.500
0.125 0.125 0.125
0.376 0.376 0.376
0.624 0.624 0.624
0.875 0.875 0.875
```



Material: CaDyMgZn
Method: DFT, PBE
State: optimized geometry

Calculated values
Magnetic moment   0.016 μB/atom
Excess energy over the best structure of this formula in the dataset   0 meV/atom
DOS at the Fermi energy   3.4 states/eV per cell
Calculated formation energy   -0.183 eV/atom

The structure in POSCAR format:
```
CaDyMgZn
1.0
3.672 0.000 0.000
0.000 3.672 0.000
0.000 0.000 7.831
Ca Dy Mg Zn
1 1 1 1
direct
0.000 0.000 0.000
0.000 0.000 0.446
0.500 0.500 0.714
0.500 0.500 0.242
```



Material: CaDyMgZn
Method: DFT, PBE
State: optimized geometry

Calculated values
Magnetic moment   0.000 μB/atom
Excess energy over the best structure of this formula in the dataset   47 meV/atom
DOS at the Fermi energy   16.1 states/eV per cell
Calculated formation energy   -0.136 eV/atom

The structure in POSCAR format:
```
CaDyMgZn
1.0
7.466 0.000 0.000
0.000 7.466 0.000
0.000 0.000 7.466
Ca Dy Mg Zn
4 4 4 4
direct
0.000 0.000 0.000
0.000 0.500 0.500
0.500 0.000 0.500
0.500 0.500 0.000
0.000 0.000 0.500
0.000 0.500 0.000
0.500 0.000 0.000
0.500 0.500 0.500
0.250 0.250 0.750
0.250 0.750 0.250
0.750 0.250 0.250
0.750 0.750 0.750
0.250 0.250 0.250
0.250 0.750 0.750
0.750 0.250 0.750
0.750 0.750 0.250
```



Material: CaDy3Mn
Method: DFT, PBE
State: optimized geometry

Calculated values
Magnetic moment   0.157 μB/atom
DOS at the Fermi energy   4.9 states/eV per cell
Calculated formation energy   0.169 eV/atom

The structure in POSCAR format:
```
CaDy3Mn
1.0
5.341 0.000 0.000
0.000 5.341 0.000
0.000 0.000 5.341
Ca Dy Mn
1 3 1
direct
0.000 0.000 0.000
0.000 0.500 0.500
0.500 0.000 0.500
0.500 0.500 0.000
0.500 0.500 0.500
```



Material: CaDy2Mn
Method: DFT, PBE
State: optimized geometry

Calculated values
Magnetic moment   0.645 μB/atom
DOS at the Fermi energy   5.6 states/eV per cell
Calculated formation energy   0.131 eV/atom

The structure in POSCAR format:
```
CaDy2Mn
1.0
3.519 0.000 0.000
0.000 3.519 0.000
0.000 0.000 9.335
Ca Dy Mn
1 2 1
direct
0.000 0.000 0.000
0.500 0.500 0.318
0.500 0.500 0.682
0.000 0.000 0.500
```



Material: CaDy2MnN4
Method: DFT, PBE
State: optimized geometry

Calculated values
Magnetic moment   0.331 μB/atom
DOS at the Fermi energy   3.5 states/eV per cell
Formation energy (no corrections)   -1.0989 eV per atom

The structure in POSCAR format:
```
CaDy2MnN4
1.0
1.710 -5.805 0.000
1.710 5.805 0.000
0.000 0.000 11.674
Ca Dy Mn N
2 4 2 8
direct
0.106 0.894 0.750
0.894 0.106 0.250
0.370 0.630 0.543
0.370 0.630 0.957
0.630 0.370 0.043
0.630 0.370 0.457
0.171 0.829 0.250
0.829 0.171 0.750
0.000 0.000 0.000
0.000 0.000 0.500
0.262 0.738 0.125
0.262 0.738 0.375
0.405 0.595 0.750
0.595 0.405 0.250
0.738 0.262 0.625
0.738 0.262 0.875
```